(1)
Below is a relaxed SmScAgRu crystal, with properties calculated at the PBE level.

```
data_SmScAgRu
_cell_length_a 3.346
_cell_length_b 3.346
_cell_length_c 7.438
_cell_angle_alpha 90.00
_cell_angle_beta 90.00
_cell_angle_gamma 90.00
_symmetry_space_group_name_H-M 'P 1'
_symmetry_Int_Tables_number 1
loop_
_symmetry_equiv_pos_as_xyz
'x,y,z'
loop_
_atom_site_label
_atom_site_type_symbol
_atom_site_fract_x
_atom_site_fract_y
_atom_site_fract_z
Sm1 Sm 0.500 0.500 0.790
Ag1 Ag 0.000 0.000 0.101
Sc1 Sc 0.500 0.500 0.349
Ru1 Ru 0.000 0.000 0.544
```

- D(E_F): 0.6838 states/eV per atom
- Volume: 83.3 Å³ per cell
- Relative energy among the computed polymorphs: 0 meV per atom
- Calculated formation energy: -0.39 eV/atom
- SG: P4mm, No. 99

(2)
Below is a relaxed Na2In4Ga crystal, with properties calculated at the PBE level.

```
data_Na2In4Ga
_cell_length_a 5.453
_cell_length_b 6.100
_cell_length_c 7.461
_cell_angle_alpha 114.13
_cell_angle_beta 90.00
_cell_angle_gamma 90.00
_symmetry_space_group_name_H-M 'P 1'
_symmetry_Int_Tables_number 1
loop_
_symmetry_equiv_pos_as_xyz
'x,y,z'
loop_
_atom_site_label
_atom_site_type_symbol
_atom_site_fract_x
_atom_site_fract_y
_atom_site_fract_z
In1 In 0.000 0.289 0.578
In2 In 0.000 0.711 0.422
In3 In 0.500 0.395 0.790
In4 In 0.500 0.605 0.210
Na1 Na 0.500 0.855 0.709
Na2 Na 0.500 0.145 0.291
Ga1 Ga 0.000 0.500 0.000
```

- D(E_F): 0.3516 states/eV per atom
- Volume: 226.5 Å³ per cell
- Calculated formation energy: 0.08 eV/atom
- SG: Cmmm, No. 65

(3)
Below is a relaxed UCrOs crystal, with properties calculated at the PBE level.

```
data_UCrOs
_cell_length_a 2.792
_cell_length_b 4.430
_cell_length_c 4.430
_cell_angle_alpha 120.00
_cell_angle_beta 90.00
_cell_angle_gamma 90.00
_symmetry_space_group_name_H-M 'P 1'
_symmetry_Int_Tables_number 1
loop_
_symmetry_equiv_pos_as_xyz
'x,y,z'
loop_
_atom_site_label
_atom_site_type_symbol
_atom_site_fract_x
_atom_site_fract_y
_atom_site_fract_z
U1 U 0.039 0.000 0.000
Os1 Os 0.720 0.333 0.667
Cr1 Cr 0.241 0.667 0.333
```

- D(E_F): 1.3420 states/eV per atom
- Volume: 47.5 Å³ per cell
- Relative energy among the computed polymorphs: 206 meV per atom
- Calculated formation energy: 0.23 eV/atom
- SG: P3m1, No. 156